A relaxed CoPt2W crystal. Source: the Alexandria database, functional PBE.

Values from the calculation:
Calculated volume, Å³ per cell: 57.5
Space group: I-4m2, No. 119
Electronic total energy, eV per atom: -8.204
Crystal system: tetragonal

Unit cell a=4.733 b=4.733 c=4.733 alpha=131.92 beta=131.92 gamma=70.36
Fractional positions:
1 Co 0.000 0.000 0.000
2 Pt 0.500 0.500 0.000
3 Pt 0.750 0.250 0.500
4 W 0.250 0.750 0.500